(1)
VASP calculation (PBE-GGA) on NaI2F after structural relaxation.

a b c (Å): 7.398 7.398 7.398
angles (deg): 90.00 90.00 90.00
Space group Fm-3m (No. 225)
Asymmetric unit:
Na: 0.000 0.000 0.000 [4 per cell]
I: 0.250 0.250 0.250 [8 per cell]
F: 0.000 0.000 0.500 [4 per cell]

**Formation energy (no corrections)**: -0.541 eV/atom
**Polymorph energy (0 for the lowest one)**: 12 meV per atom
**Magnetization**: 0.00 μB/cell

***

(2)
VASP calculation (PBE-GGA) on AlAg2Os after structural relaxation.

a b c (Å): 2.841 4.764 9.577
angles (deg): 90.00 90.00 90.00
Space group Cmmm (No. 65)
Asymmetric unit:
Al: 0.000 0.000 0.000 [2 per cell]
Ag: 0.000 0.500 0.242 [4 per cell]
Os: 0.000 0.000 0.500 [2 per cell]

**Energy relative to the elements**: 0.423 eV/atom
**Magnetization**: 0.00 μB/cell

***

(3)
VASP calculation (PBE-GGA) on CeAs12Ru4 after structural relaxation.

a b c (Å): 8.591 8.591 8.591
angles (deg): 90.00 90.00 90.00
Space group Im-3 (No. 204)
Asymmetric unit:
Ce: 0.000 0.000 0.000 [2 per cell]
As: 0.000 0.347 0.150 [24 per cell]
Ru: 0.250 0.250 0.250 [8 per cell]

**Energy relative to the elements**: -0.485 eV/atom
**Magnetization**: 0.26 μB/cell

***

(4)
VASP calculation (PBE-GGA) on SmErGaPt after structural relaxation.

a b c (Å): 7.127 7.127 7.127
angles (deg): 90.00 90.00 90.00
Space group F-43m (No. 216)
Asymmetric unit:
Sm: 0.000 0.000 0.000 [4 per cell]
Er: 0.000 0.000 0.500 [4 per cell]
Ga: 0.250 0.250 0.750 [4 per cell]
Pt: 0.250 0.250 0.250 [4 per cell]

**Energy relative to the elements**: -0.832 eV/atom
**Polymorph energy (0 for the lowest one)**: 76 meV per atom
**Magnetization**: 0.00 μB/cell

***

(5)
VASP calculation (PBE-GGA) on Sm2Cd3Pb after structural relaxation.

a b c (Å): 7.273 10.065 17.353
angles (deg): 90.00 90.00 90.00
Space group Fmmm (No. 69)
Asymmetric unit:
Sm: 0.248 0.000 0.000 [8 per cell]
Sm: 0.250 0.250 0.250 [8 per cell]
Cd: 0.000 0.000 0.163 [8 per cell]
Cd: 0.000 0.245 0.081 [16 per cell]
Pb: 0.000 0.000 0.334 [8 per cell]

**Energy relative to the elements**: -0.365 eV/atom
**Magnetization**: 0.00 μB/cell

***

(6)
VASP calculation (PBE-GGA) on ScCoMo2 after structural relaxation.

a b c (Å): 3.548 4.229 8.278
angles (deg): 90.00 90.00 90.00
Space group Cmm2 (No. 35)
Asymmetric unit:
Sc: 0.000 0.000 0.000 [2 per cell]
Co: 0.000 0.500 0.231 [2 per cell]
Mo: 0.000 0.000 0.437 [2 per cell]
Mo: 0.000 0.500 0.707 [2 per cell]

**Energy relative to the elements**: 0.104 eV/atom
**Polymorph energy (0 for the lowest one)**: 87 meV per atom
**Magnetization**: 0.00 μB/cell

***

(7)
VASP calculation (PBE-GGA) on MnV2Sb2 after structural relaxation.

a b c (Å): 3.483 3.483 16.126
angles (deg): 90.00 90.00 90.00
Space group I4/mmm (No. 139)
Asymmetric unit:
Mn: 0.000 0.000 0.000 [2 per cell]
V: 0.000 0.500 0.250 [4 per cell]
Sb: 0.000 0.000 0.388 [4 per cell]

**Formation energy (no corrections)**: 0.364 eV/atom
**Polymorph energy (0 for the lowest one)**: 143 meV per atom
**Magnetization**: 9.46 μB/cell

***

(8)
VASP calculation (PBE-GGA) on DyHfAgRu after structural relaxation.

a b c (Å): 6.828 6.828 6.828
angles (deg): 90.00 90.00 90.00
Space group F-43m (No. 216)
Asymmetric unit:
Dy: 0.000 0.000 0.000 [4 per cell]
Hf: 0.000 0.000 0.500 [4 per cell]
Ag: 0.250 0.250 0.250 [4 per cell]
Ru: 0.250 0.250 0.750 [4 per cell]

**Energy relative to the elements**: -0.267 eV/atom
**Magnetization**: 0.00 μB/cell

***

(9)
VASP calculation (PBE-GGA) on LiVGe2 after structural relaxation.

a b c (Å): 6.269 6.269 6.269
angles (deg): 90.00 90.00 90.00
Space group Fm-3m (No. 225)
Asymmetric unit:
Li: 0.000 0.000 0.000 [4 per cell]
V: 0.000 0.000 0.500 [4 per cell]
Ge: 0.250 0.250 0.250 [8 per cell]

**Energy relative to the elements**: -0.043 eV/atom
**Polymorph energy (0 for the lowest one)**: 80 meV per atom
**Magnetization**: 10.12 μB/cell

***

(10)
VASP calculation (PBE-GGA) on CrOs2Rh after structural relaxation.

a b c (Å): 4.143 2.714 9.860
angles (deg): 90.00 90.00 90.00
Space group Amm2 (No. 38)
Asymmetric unit:
Cr: 0.000 0.000 0.000 [2 per cell]
Os: 0.000 0.000 0.737 [2 per cell]
Os: 0.500 0.000 0.133 [2 per cell]
Rh: 0.500 0.000 0.397 [2 per cell]

**Energy relative to the elements**: 0.093 eV/atom
**Polymorph energy (0 for the lowest one)**: 58 meV per atom
**Magnetization**: 0.01 μB/cell

***

(11)
VASP calculation (PBE-GGA) on SrCaPt2 after structural relaxation.

a b c (Å): 4.249 4.249 6.009
angles (deg): 90.00 90.00 90.00
Space group P4mm (No. 99)
Asymmetric unit:
Sr: 0.000 0.000 0.000 [1 per cell]
Ca: 0.500 0.500 0.497 [1 per cell]
Pt: 0.000 0.000 0.500 [1 per cell]
Pt: 0.500 0.500 0.997 [1 per cell]

**Energy relative to the elements**: -0.613 eV/atom
**Polymorph energy (0 for the lowest one)**: 211 meV per atom
**Magnetization**: 0.00 μB/cell

***

(12)
VASP calculation (PBE-GGA) on GaReNi3 after structural relaxation.

a b c (Å): 4.218 4.218 4.218
angles (deg): 90.00 90.00 90.00
Space group Pm-3m (No. 221)
Asymmetric unit:
Ga: 0.000 0.000 0.000 [1 per cell]
Re: 0.500 0.500 0.500 [1 per cell]
Ni: 0.000 0.000 0.500 [3 per cell]

**Energy relative to the elements**: 1.209 eV/atom
**Polymorph energy (0 for the lowest one)**: 0 meV per atom
**Magnetization**: 2.72 μB/cell